Density functional theory data (PBE) for a geometry-optimized Sc2RuF structure.

The raw formation energy comes out at -0.92 eV per atom. As for the total energy: -6.872 eV per atom. Its density is 5.4 Mg/m³. The total magnetization is 0.00 μB per formula unit.

Structure (CIF):
```
data_Sc2RuF
_chemical_formula_sum 'Sc8 Ru4 F4'
_cell_length_a 6.384
_cell_length_b 6.384
_cell_length_c 6.384
_cell_angle_alpha 90.00
_cell_angle_beta 90.00
_cell_angle_gamma 90.00
_symmetry_space_group_name_H-M 'F m -3 m'
_symmetry_Int_Tables_number 225
_symmetry_space_group_name_Hall '-F 4 2 3'
loop_
_atom_site_label
_atom_site_type_symbol
_atom_site_fract_x
_atom_site_fract_y
_atom_site_fract_z
_atom_site_occupancy
Sc1 Sc 0.250 0.250 0.250 1
Ru1 Ru 0.000 0.000 0.000 1
F1 F 0.000 0.000 0.500 1
```